[1]
Compound: SrCoCu2
Source: Alexandria
Functional: PBE-GGA
Structure: optimized geometry

Calculated values
total DFT energy (no corrections): -15.4 eV for the cell shown
ΔE_f: 0.399 eV/atom
density of states at the Fermi level: 4.7 states/eV per cell

Unit cell a=3.215 b=3.215 c=6.768 alpha=90.00 beta=90.00 gamma=90.00
Element x y z (fractional)
Sr (0.000, 0.000, 0.000)
Co (0.500, 0.500, 0.319)
Cu (0.000, 0.000, 0.488)
Cu (0.500, 0.500, 0.672)

[2]
Compound: SrTl2CoCu
Source: Alexandria
Functional: PBE-GGA
Structure: optimized geometry

Calculated values
total DFT energy (no corrections): -10.5 eV for the cell shown
ΔE_f: 1.425 eV/atom
density of states at the Fermi level: 3.8 states/eV per cell

Unit cell a=6.225 b=6.225 c=4.775 alpha=90.00 beta=90.00 gamma=90.00
Element x y z (fractional)
Sr (0.000, 0.000, 0.000)
Tl (0.000, 0.500, 0.000)
Tl (0.500, 0.000, 0.000)
Co (0.000, 0.000, 0.500)
Cu (0.500, 0.500, 0.500)

Calculated density? In order: 6.5; 5.6 g/cm³.